(1)
A plane-wave DFT calculation with PBE-GGA was carried out for a relaxed structure of MnCuGeAu.

abc: 2.912 2.990 14.329
angles: 90.00 90.00 90.00
Fractional coordinates of all 8 atoms:
Mn: 0.500 0.000 0.475
Mn: 0.500 0.500 0.975
Cu: 0.000 0.000 0.868
Cu: 0.000 0.500 0.368
Ge: 0.000 0.000 0.088
Ge: 0.000 0.500 0.588
Au: 0.500 0.000 0.248
Au: 0.500 0.500 0.748

Computed properties:
- V (Å³/atom) = 15.59
- energy of formation (kcal/mol of atoms) = 1.8
- excess energy over the best structure of this formula in the dataset (kJ per mole of atoms) = 5.70
- size of the total moment (μB/atom) = 0.841



(2)
A plane-wave DFT calculation with PBE-GGA was carried out for a relaxed structure of TbY3Sc3.

abc: 5.966 5.966 14.144
angles: 77.83 77.83 60.00
Fractional coordinates of all 14 atoms:
Tb: 0.667 0.667 0.000
Tb: 0.333 0.333 0.000
Y: 0.930 0.263 0.211
Y: 0.596 0.930 0.211
Y: 0.263 0.596 0.211
Y: 0.737 0.404 0.789
Y: 0.404 0.070 0.789
Y: 0.070 0.737 0.789
Sc: 0.197 0.864 0.408
Sc: 0.532 0.197 0.408
Sc: 0.864 0.532 0.408
Sc: 0.136 0.468 0.592
Sc: 0.468 0.803 0.592
Sc: 0.803 0.136 0.592

Computed properties:
- V (Å³/atom) = 30.20
- energy of formation (kcal/mol of atoms) = 3.8
- excess energy over the best structure of this formula in the dataset (kJ per mole of atoms) = 13.23
- size of the total moment (μB/atom) = 0.000



What is the V in the second record? 30.20 Å³/atom